Model a:
Compound: Pr2Dy6Y
Source: Alexandria via LeMat-Bulk
Functional: PBE
Structure: optimized geometry

It has space group C2/c (No. 15), with a = 10.7192 Å, b = 17.6645 Å, c = 6.2293 Å, α = 90.00°, β = 94.75° and γ = 90.00°. The inequivalent atoms are Pr at (0.2501, 0.1020, 0.9997), Dy at (0.0891, 0.0761, 0.4976), Dy at (0.0891, 0.4236, 0.4979), Dy at (0.1545, 0.2498, 0.2816) and Y at (0.0000, 0.2497, 0.7500).

The calculation puts the volume at 1175 Å³ per cell.

=====

Model b:
Compound: Pr2Dy6Y
Source: Alexandria via LeMat-Bulk
Functional: PBE
Structure: optimized geometry

It has space group Immm (No. 71), with a = 3.4441 Å, b = 10.1242 Å, c = 17.4068 Å, α = 90.00°, β = 90.00° and γ = 90.00°. The inequivalent atoms are Pr at (0.0000, 0.0000, 0.1687), Dy at (0.0000, 0.1895, 0.3344), Dy at (0.0000, 0.1916, 0.0000) and Y at (0.0000, 0.0000, 0.5000).

The calculation puts the volume at 607 Å³ per cell.

=====

It is model a that is most stable; the runner-up trails by 89 meV per atom.

=====

Model a:
Compound: Pr3Dy2Y
Source: Alexandria via LeMat-Bulk
Functional: PBE
Structure: optimized geometry

It has space group C2/m (No. 12), with a = 13.3511 Å, b = 3.5730 Å, c = 17.8836 Å, α = 90.00°, β = 102.49° and γ = 90.00°. The inequivalent atoms are Pr at (0.0676, 0.0000, 0.1678), Pr at (0.1274, 0.5000, 0.9904), Pr at (0.2329, 0.5000, 0.3374), Dy at (0.1326, 0.5000, 0.5011), Dy at (0.1967, 0.0000, 0.8344) and Y at (0.0410, 0.5000, 0.6806).

The calculation puts the volume at 833 Å³ per cell.

=====

Model b:
Compound: Pr3Dy2Y
Source: Alexandria via LeMat-Bulk
Functional: PBE
Structure: optimized geometry

It has space group Imma (No. 74), with a = 11.5265 Å, b = 11.6806 Å, c = 6.4624 Å, α = 90.00°, β = 90.00° and γ = 90.00°. The inequivalent atoms are Pr at (0.2115, 0.0000, 0.0000), Pr at (0.2500, 0.2500, 0.2500), Dy at (0.0000, 0.0952, 0.3149) and Y at (0.0000, 0.2500, 0.8013).

The calculation puts the volume at 870 Å³ per cell.

=====

It is model a that is most stable; the runner-up trails by 191 meV per atom.

=====

Model a:
Compound: PrDyY6
Source: Alexandria via LeMat-Bulk
Functional: PBE
Structure: optimized geometry

It has space group P-1 (No. 2), with a = 6.5833 Å, b = 6.8006 Å, c = 7.0023 Å, α = 118.57°, β = 103.70° and γ = 90.16°. The inequivalent atoms are Pr at (0.0000, 0.0000, 0.0000), Dy at (0.5000, 0.0000, 0.0000), Y at (0.2335, 0.5768, 0.4843), Y at (0.2529, 0.5447, 0.0025) and Y at (0.2716, 0.0953, 0.5261).

The calculation puts the volume at 265 Å³ per cell.

=====

Model b:
Compound: PrDyY6
Source: Alexandria via LeMat-Bulk
Functional: PBE
Structure: optimized geometry

It has space group R-3 (No. 148, hexagonal axes), with a = 9.6782 Å, b = 9.6782 Å, c = 9.9549 Å, α = 90.00°, β = 90.00° and γ = 120.00°. The inequivalent atoms are Pr at (0.0000, 0.0000, 0.0000), Dy at (0.0000, 0.0000, 0.5000) and Y at (0.0011, 0.2939, 0.2512).

The calculation puts the volume at 808 Å³ per cell.

=====

It is model b that is most stable; the runner-up trails by 53 meV per atom.

=====

Model a:
Compound: Pr2Dy7Y2
Source: Alexandria via LeMat-Bulk
Functional: PBE
Structure: optimized geometry

It has space group C2/m (No. 12), with a = 17.6366 Å, b = 11.6753 Å, c = 3.6172 Å, α = 90.00°, β = 101.80° and γ = 90.00°. The inequivalent atoms are Pr at (0.0000, 0.2369, 0.0000), Dy at (0.0000, 0.5000, 0.5000), Dy at (0.1199, 0.0000, 0.1214), Dy at (0.1687, 0.2452, 0.6690) and Y at (0.1989, 0.5000, 0.1991).

The calculation puts the volume at 729 Å³ per cell.

=====

Model b:
Compound: Pr2Dy7Y2
Source: Alexandria via LeMat-Bulk
Functional: PBE
Structure: optimized geometry

It has space group C2/m (No. 12), with a = 11.3881 Å, b = 11.4776 Å, c = 6.0766 Å, α = 90.00°, β = 113.45° and γ = 90.00°. The inequivalent atoms are Pr at (0.2332, 0.0000, 0.0925), Dy at (0.0000, 0.0000, 0.5000), Dy at (0.0875, 0.5000, 0.3023), Dy at (0.1743, 0.2343, 0.6726) and Y at (0.0000, 0.2181, 0.0000).

The calculation puts the volume at 729 Å³ per cell.

=====

It is model a that is most stable; the runner-up trails by 28 meV per atom.

=====

Model a:
Compound: Pr4Dy4Y
Source: Alexandria via LeMat-Bulk
Functional: PBE
Structure: optimized geometry

It has space group P-1 (No. 2), with a = 5.7209 Å, b = 6.7744 Å, c = 9.0053 Å, α = 68.60°, β = 71.63° and γ = 89.92°. The inequivalent atoms are Pr at (0.1341, 0.3092, 0.2338), Pr at (0.2803, 0.8436, 0.9395), Dy at (0.0719, 0.7670, 0.3578), Dy at (0.3778, 0.4230, 0.7429) and Y at (0.5000, 0.0000, 0.5000).

The calculation puts the volume at 306 Å³ per cell.

=====

Model b:
Compound: Pr4Dy4Y
Source: Alexandria via LeMat-Bulk
Functional: PBE
Structure: optimized geometry

It has space group I4/mmm (No. 139), with a = 10.8780 Å, b = 10.8780 Å, c = 5.1138 Å, α = 90.00°, β = 90.00° and γ = 90.00°. The inequivalent atoms are Pr at (0.1673, 0.1673, 0.0000), Dy at (0.0000, 0.3355, 0.5000) and Y at (0.0000, 0.0000, 0.5000).

The calculation puts the volume at 605 Å³ per cell.

=====

It is model b that is most stable; the runner-up trails by 85 meV per atom.

=====

Model a:
Compound: Pr3Dy5Y4
Source: Alexandria via LeMat-Bulk
Functional: PBE
Structure: optimized geometry

It has space group P-1 (No. 2), with a = 6.2107 Å, b = 7.2052 Å, c = 9.4982 Å, α = 101.02°, β = 108.64° and γ = 90.10°. The inequivalent atoms are Pr at (0.0000, 0.0000, 0.0000), Pr at (0.4977, 0.5823, 0.3312), Dy at (0.0000, 0.5000, 0.0000), Dy at (0.0005, 0.6665, 0.6667), Dy at (0.4987, 0.7500, 0.9992), Y at (0.9999, 0.1669, 0.6656) and Y at (0.5002, 0.0832, 0.3326).

The calculation puts the volume at 394 Å³ per cell.

=====

Model b:
Compound: Pr3Dy5Y4
Source: Alexandria via LeMat-Bulk
Functional: PBE
Structure: optimized geometry

It has space group C2/m (No. 12), with a = 17.9230 Å, b = 5.7826 Å, c = 8.7856 Å, α = 90.00°, β = 117.15° and γ = 90.00°. The inequivalent atoms are Pr at (0.0000, 0.0000, 0.0000), Pr at (0.1852, 0.5000, 0.2228), Dy at (0.0000, 0.5000, 0.0000), Dy at (0.0956, 0.0000, 0.4379), Dy at (0.1610, 0.0000, 0.8905), Y at (0.0365, 0.5000, 0.6980) and Y at (0.2084, 0.5000, 0.6450).

The calculation puts the volume at 810 Å³ per cell.

=====

It is model a that is most stable; the runner-up trails by 256 meV per atom.